10
Lattice="-1.867 -2.625 -1.411 1.665 0.462 -3.063 17.067 -15.836 6.883" Properties=species:S:1:pos:R:3 comment="Ho5Er4Mg, optimized geometry, DFT PBE" dos_ef_per_ev_cell=13.36 vol_a3_per_cell=300.3 energy_ev_per_atom=-4.2701 pbc="T T T"
Ho 15.391 -15.456 4.011
Ho 8.432 -9.000 1.204
Ho 4.939 -5.758 -0.205
Ho 11.926 -12.241 2.613
Ho 1.474 -2.543 -1.602
Mg 0.000 0.000 0.000
Er 6.786 -6.297 2.737
Er 13.778 -12.784 5.557
Er 3.289 -3.052 1.326
Er 10.281 -9.539 4.146